# 1
# Ba2YTlCo2O7 PBEsol optimized geometry
# - energy relative to the elements, uncorrected (eV per atom) = -1.9105
data_Ba2YTlCo2O7
_cell_length_a 12.641
_cell_length_b 5.371
_cell_length_c 5.370
_cell_angle_alpha 90.00
_cell_angle_beta 90.00
_cell_angle_gamma 90.00
_symmetry_space_group_name_H-M 'P 1'
_symmetry_Int_Tables_number 1
loop_
_symmetry_equiv_pos_as_xyz
'x,y,z'
loop_
_atom_site_label
_atom_site_type_symbol
_atom_site_fract_x
_atom_site_fract_y
_atom_site_fract_z
Ba1 Ba 0.209 0.249 0.000
Ba2 Ba 0.209 0.751 0.500
Ba3 Ba 0.791 0.249 0.000
Ba4 Ba 0.791 0.751 0.500
Y1 Y 0.500 0.250 0.998
Y2 Y 0.500 0.750 0.498
Tl1 Tl 0.000 0.279 0.470
Tl2 Tl 0.000 0.721 0.970
Co1 Co 0.395 0.250 0.499
Co2 Co 0.395 0.750 0.999
Co3 Co 0.605 0.250 0.499
Co4 Co 0.605 0.750 0.999
O1 O 0.000 0.293 0.040
O2 O 0.000 0.707 0.540
O3 O 0.166 0.242 0.506
O4 O 0.166 0.758 0.006
O5 O 0.387 0.500 0.248
O6 O 0.387 0.500 0.748
O7 O 0.388 0.000 0.248
O8 O 0.388 0.000 0.748
O9 O 0.612 0.000 0.248
O10 O 0.612 0.000 0.748
O11 O 0.613 0.500 0.248
O12 O 0.613 0.500 0.748
O13 O 0.834 0.242 0.506
O14 O 0.834 0.758 0.006



# 2
# BeSbTe2 PBEsol optimized geometry
# - energy above the lowest structure with this stoichiometry (kJ/mol of formula units) = 35
# - energy relative to the elements, uncorrected (eV per atom) = 0.1701
data_BeSbTe2
_cell_length_a 5.848
_cell_length_b 8.479
_cell_length_c 3.854
_cell_angle_alpha 90.00
_cell_angle_beta 90.00
_cell_angle_gamma 90.00
_symmetry_space_group_name_H-M 'P 1'
_symmetry_Int_Tables_number 1
loop_
_symmetry_equiv_pos_as_xyz
'x,y,z'
loop_
_atom_site_label
_atom_site_type_symbol
_atom_site_fract_x
_atom_site_fract_y
_atom_site_fract_z
Be1 Be 0.000 0.000 0.000
Be2 Be 0.500 0.500 0.000
Sb1 Sb 0.000 0.500 0.000
Sb2 Sb 0.500 0.000 0.000
Te1 Te 0.000 0.211 0.500
Te2 Te 0.000 0.789 0.500
Te3 Te 0.500 0.289 0.500
Te4 Te 0.500 0.711 0.500



# 3
# FeSiGeSe2 PBEsol optimized geometry
# - energy relative to the elements, uncorrected (eV per atom) = 0.9523
data_FeSiGeSe2
_cell_length_a 4.965
_cell_length_b 4.965
_cell_length_c 4.448
_cell_angle_alpha 90.00
_cell_angle_beta 90.00
_cell_angle_gamma 90.00
_symmetry_space_group_name_H-M 'P 1'
_symmetry_Int_Tables_number 1
loop_
_symmetry_equiv_pos_as_xyz
'x,y,z'
loop_
_atom_site_label
_atom_site_type_symbol
_atom_site_fract_x
_atom_site_fract_y
_atom_site_fract_z
Fe1 Fe 0.000 0.000 0.000
Si1 Si 0.500 0.500 0.000
Ge1 Ge 0.000 0.000 0.500
Se1 Se 0.000 0.500 0.500
Se2 Se 0.500 0.000 0.500



# 4
# FeHg2Sb PBEsol optimized geometry
# - energy relative to the elements, uncorrected (eV per atom) = 0.4506
data_FeHg2Sb
_cell_length_a 4.028
_cell_length_b 4.028
_cell_length_c 9.890
_cell_angle_alpha 90.00
_cell_angle_beta 90.00
_cell_angle_gamma 90.00
_symmetry_space_group_name_H-M 'P 1'
_symmetry_Int_Tables_number 1
loop_
_symmetry_equiv_pos_as_xyz
'x,y,z'
loop_
_atom_site_label
_atom_site_type_symbol
_atom_site_fract_x
_atom_site_fract_y
_atom_site_fract_z
Fe1 Fe 0.000 0.000 0.000
Fe2 Fe 0.500 0.500 0.500
Hg1 Hg 0.000 0.500 0.250
Hg2 Hg 0.000 0.500 0.750
Hg3 Hg 0.500 0.000 0.250
Hg4 Hg 0.500 0.000 0.750
Sb1 Sb 0.000 0.000 0.500
Sb2 Sb 0.500 0.500 0.000



# 5
# Zr2Al2Cu PBEsol optimized geometry
# - energy above the lowest structure with this stoichiometry (kJ/mol of formula units) = 0
# - formation energy from the elements (eV per atom) = -0.387
data_Zr2Al2Cu
_cell_length_a 5.462
_cell_length_b 5.462
_cell_length_c 6.948
_cell_angle_alpha 102.22
_cell_angle_beta 102.22
_cell_angle_gamma 60.72
_symmetry_space_group_name_H-M 'P 1'
_symmetry_Int_Tables_number 1
loop_
_symmetry_equiv_pos_as_xyz
'x,y,z'
loop_
_atom_site_label
_atom_site_type_symbol
_atom_site_fract_x
_atom_site_fract_y
_atom_site_fract_z
Zr1 Zr 0.033 0.251 0.142
Zr2 Zr 0.251 0.033 0.642
Zr3 Zr 0.749 0.967 0.358
Zr4 Zr 0.967 0.749 0.858
Al1 Al 0.256 0.487 0.508
Al2 Al 0.487 0.256 0.008
Al3 Al 0.513 0.744 0.992
Al4 Al 0.744 0.513 0.492
Cu1 Cu 0.306 0.694 0.250
Cu2 Cu 0.694 0.306 0.750



# 6
# NiMoAs2 PBEsol optimized geometry
# - formation energy from the elements (eV per atom) = 0.051
data_NiMoAs2
_cell_length_a 3.395
_cell_length_b 4.519
_cell_length_c 7.409
_cell_angle_alpha 90.00
_cell_angle_beta 90.00
_cell_angle_gamma 90.00
_symmetry_space_group_name_H-M 'P 1'
_symmetry_Int_Tables_number 1
loop_
_symmetry_equiv_pos_as_xyz
'x,y,z'
loop_
_atom_site_label
_atom_site_type_symbol
_atom_site_fract_x
_atom_site_fract_y
_atom_site_fract_z
Ni1 Ni 0.000 0.000 0.000
Ni2 Ni 0.500 0.500 0.500
Mo1 Mo 0.000 0.000 0.500
Mo2 Mo 0.500 0.500 0.000
As1 As 0.000 0.500 0.280
As2 As 0.000 0.500 0.720
As3 As 0.500 0.000 0.220
As4 As 0.500 0.000 0.780



# 7
# Cu2SnAu2 PBEsol optimized geometry
# - formation energy from the elements (eV per atom) = -0.018
data_Cu2SnAu2
_cell_length_a 7.421
_cell_length_b 7.421
_cell_length_c 2.963
_cell_angle_alpha 90.00
_cell_angle_beta 90.00
_cell_angle_gamma 90.00
_symmetry_space_group_name_H-M 'P 1'
_symmetry_Int_Tables_number 1
loop_
_symmetry_equiv_pos_as_xyz
'x,y,z'
loop_
_atom_site_label
_atom_site_type_symbol
_atom_site_fract_x
_atom_site_fract_y
_atom_site_fract_z
Cu1 Cu 0.159 0.341 0.000
Cu2 Cu 0.341 0.841 0.000
Cu3 Cu 0.659 0.159 0.000
Cu4 Cu 0.841 0.659 0.000
Sn1 Sn 0.000 0.000 0.500
Sn2 Sn 0.500 0.500 0.500
Au1 Au 0.137 0.637 0.500
Au2 Au 0.363 0.137 0.500
Au3 Au 0.637 0.863 0.500
Au4 Au 0.863 0.363 0.500



# 8
# BaPbSCl2 PBEsol optimized geometry
# - energy relative to the elements, uncorrected (eV per atom) = -1.2620
data_BaPbSCl2
_cell_length_a 5.383
_cell_length_b 5.383
_cell_length_c 5.588
_cell_angle_alpha 90.00
_cell_angle_beta 90.00
_cell_angle_gamma 90.00
_symmetry_space_group_name_H-M 'P 1'
_symmetry_Int_Tables_number 1
loop_
_symmetry_equiv_pos_as_xyz
'x,y,z'
loop_
_atom_site_label
_atom_site_type_symbol
_atom_site_fract_x
_atom_site_fract_y
_atom_site_fract_z
Ba1 Ba 0.000 0.000 0.000
Pb1 Pb 0.500 0.500 0.500
S1 S 0.500 0.500 0.000
Cl1 Cl 0.000 0.500 0.500
Cl2 Cl 0.500 0.000 0.500



# 9
# TlRuRh2 PBEsol optimized geometry
# - energy above the lowest structure with this stoichiometry (kJ/mol of formula units) = 8
# - formation energy from the elements (eV per atom) = 0.326
data_TlRuRh2
_cell_length_a 5.572
_cell_length_b 7.684
_cell_length_c 2.834
_cell_angle_alpha 90.00
_cell_angle_beta 90.00
_cell_angle_gamma 90.00
_symmetry_space_group_name_H-M 'P 1'
_symmetry_Int_Tables_number 1
loop_
_symmetry_equiv_pos_as_xyz
'x,y,z'
loop_
_atom_site_label
_atom_site_type_symbol
_atom_site_fract_x
_atom_site_fract_y
_atom_site_fract_z
Tl1 Tl 0.000 0.000 0.000
Tl2 Tl 0.500 0.500 0.000
Ru1 Ru 0.000 0.500 0.000
Ru2 Ru 0.500 0.000 0.000
Rh1 Rh 0.250 0.250 0.500
Rh2 Rh 0.250 0.750 0.500
Rh3 Rh 0.750 0.250 0.500
Rh4 Rh 0.750 0.750 0.500



# 10
# DyAl7Au3 PBEsol optimized geometry
# - formation energy from the elements (eV per atom) = -0.551
data_DyAl7Au3
_cell_length_a 8.364
_cell_length_b 8.364
_cell_length_c 8.364
_cell_angle_alpha 57.15
_cell_angle_beta 57.15
_cell_angle_gamma 57.15
_symmetry_space_group_name_H-M 'P 1'
_symmetry_Int_Tables_number 1
loop_
_symmetry_equiv_pos_as_xyz
'x,y,z'
loop_
_atom_site_label
_atom_site_type_symbol
_atom_site_fract_x
_atom_site_fract_y
_atom_site_fract_z
Dy1 Dy 0.000 0.000 0.000
Dy2 Dy 0.500 0.500 0.500
Al1 Al 0.071 0.853 0.666
Al2 Al 0.147 0.334 0.929
Al3 Al 0.166 0.353 0.571
Al4 Al 0.250 0.250 0.250
Al5 Al 0.334 0.929 0.147
Al6 Al 0.353 0.571 0.166
Al7 Al 0.429 0.834 0.647
Al8 Al 0.571 0.166 0.353
Al9 Al 0.647 0.429 0.834
Al10 Al 0.666 0.071 0.853
Al11 Al 0.750 0.750 0.750
Al12 Al 0.834 0.647 0.429
Al13 Al 0.853 0.666 0.071
Al14 Al 0.929 0.147 0.334
Au1 Au 0.074 0.750 0.426
Au2 Au 0.250 0.574 0.926
Au3 Au 0.426 0.074 0.750
Au4 Au 0.574 0.926 0.250
Au5 Au 0.750 0.426 0.074
Au6 Au 0.926 0.250 0.574



# 11
# LuGa2Ni PBEsol optimized geometry
# - formation energy from the elements (eV per atom) = -0.708
data_LuGa2Ni
_cell_length_a 4.045
_cell_length_b 9.661
_cell_length_c 6.510
_cell_angle_alpha 90.00
_cell_angle_beta 90.00
_cell_angle_gamma 90.00
_symmetry_space_group_name_H-M 'P 1'
_symmetry_Int_Tables_number 1
loop_
_symmetry_equiv_pos_as_xyz
'x,y,z'
loop_
_atom_site_label
_atom_site_type_symbol
_atom_site_fract_x
_atom_site_fract_y
_atom_site_fract_z
Lu1 Lu 0.000 0.074 0.250
Lu2 Lu 0.000 0.926 0.750
Lu3 Lu 0.500 0.426 0.750
Lu4 Lu 0.500 0.574 0.250
Ga1 Ga 0.000 0.360 0.053
Ga2 Ga 0.000 0.360 0.447
Ga3 Ga 0.000 0.640 0.553
Ga4 Ga 0.000 0.640 0.947
Ga5 Ga 0.500 0.140 0.553
Ga6 Ga 0.500 0.140 0.947
Ga7 Ga 0.500 0.860 0.053
Ga8 Ga 0.500 0.860 0.447
Ni1 Ni 0.000 0.209 0.750
Ni2 Ni 0.000 0.791 0.250
Ni3 Ni 0.500 0.291 0.250
Ni4 Ni 0.500 0.709 0.750



# 12
# SbI2NCl PBEsol optimized geometry
# - energy above the lowest structure with this stoichiometry (kJ/mol of formula units) = 193
# - energy relative to the elements, uncorrected (eV per atom) = 1.0654
data_SbI2NCl
_cell_length_a 6.699
_cell_length_b 6.699
_cell_length_c 3.254
_cell_angle_alpha 90.00
_cell_angle_beta 90.00
_cell_angle_gamma 90.00
_symmetry_space_group_name_H-M 'P 1'
_symmetry_Int_Tables_number 1
loop_
_symmetry_equiv_pos_as_xyz
'x,y,z'
loop_
_atom_site_label
_atom_site_type_symbol
_atom_site_fract_x
_atom_site_fract_y
_atom_site_fract_z
Sb1 Sb 0.000 0.000 0.000
I1 I 0.000 0.500 0.500
I2 I 0.500 0.000 0.500
N1 N 0.500 0.500 0.000
Cl1 Cl 0.500 0.500 0.500



It is found that the magnetization values, taken in the order of the records, are 3.79, 0.00, 2.67, 2.84, 0.00, 0.00, 0.00, 0.00, 0.00, 0.00, 0.00, 0.00 μB per formula unit.
It is found that the density of states at the Fermi level values, taken in the order of the records, are 0.480, 0.338, 1.250, 1.134, 0.860, 0.736, 0.317, 0.003, 1.149, 0.196, 0.405, 0.708 states/eV/atom.